1.
# DyY4In5, relaxed, DFT PBE
data_DyY4In5
_cell_length_a 3.7524
_cell_length_b 3.7524
_cell_length_c 18.9529
_cell_angle_alpha 90.00
_cell_angle_beta 90.00
_cell_angle_gamma 90.00
_symmetry_space_group_name_H-M 'P 4/m m m'
_symmetry_Int_Tables_number 123
_symmetry_space_group_name_Hall '-P 4 2'
loop_
_atom_site_label
_atom_site_fract_x
_atom_site_fract_y
_atom_site_fract_z
Dy1 0.0000 0.0000 0.0000
Y1 0.0000 0.0000 0.1997
Y2 0.0000 0.0000 0.3999
In1 0.5000 0.5000 0.0996
In2 0.5000 0.5000 0.2998
In3 0.5000 0.5000 0.5000
# E (eV per atom): -4.906
# E_form (meV/atom): -491
# Size of the total moment (Bohr magnetons per cell): 0.0


2.
# DyY5In6, relaxed, DFT PBE
data_DyY5In6
_cell_length_a 5.3270
_cell_length_b 7.4959
_cell_length_c 16.0043
_cell_angle_alpha 90.00
_cell_angle_beta 90.00
_cell_angle_gamma 90.00
_symmetry_space_group_name_H-M 'I m m m'
_symmetry_Int_Tables_number 71
_symmetry_space_group_name_Hall '-I 2 2'
loop_
_atom_site_label
_atom_site_fract_x
_atom_site_fract_y
_atom_site_fract_z
Dy1 0.0000 0.0000 0.0000
Y1 0.0000 0.0000 0.3335
Y2 0.0000 0.5000 0.0000
Y3 0.0000 0.5000 0.3333
In1 0.0000 0.2498 0.1666
In2 0.0000 0.2505 0.5000
# E (eV per atom): -4.940
# E_form (meV/atom): -494
# Size of the total moment (Bohr magnetons per cell): 0.0


3.
# Dy3Y3In2, relaxed, DFT PBE
data_Dy3Y3In2
_cell_length_a 5.1728
_cell_length_b 11.8128
_cell_length_c 15.8767
_cell_angle_alpha 90.00
_cell_angle_beta 90.00
_cell_angle_gamma 90.00
_symmetry_space_group_name_H-M 'C m c m'
_symmetry_Int_Tables_number 63
_symmetry_space_group_name_Hall '-C 2c 2'
loop_
_atom_site_label
_atom_site_fract_x
_atom_site_fract_y
_atom_site_fract_z
Dy1 0.0000 0.0395 0.2500
Dy2 0.0000 0.1431 0.5310
Y1 0.0000 0.2415 0.7500
Y2 0.0000 0.4602 0.6045
In1 0.0000 0.2727 0.1418
# E (eV per atom): -4.997
# E_form (meV/atom): -163
# Size of the total moment (Bohr magnetons per cell): 0.0


4.
# Dy12YIn3, relaxed, DFT PBE
data_Dy12YIn3
_cell_length_a 4.8589
_cell_length_b 4.8589
_cell_length_c 19.7932
_cell_angle_alpha 90.00
_cell_angle_beta 90.00
_cell_angle_gamma 90.00
_symmetry_space_group_name_H-M 'P 4/m m m'
_symmetry_Int_Tables_number 123
_symmetry_space_group_name_Hall '-P 4 2'
loop_
_atom_site_label
_atom_site_fract_x
_atom_site_fract_y
_atom_site_fract_z
Dy1 0.0000 0.0000 0.0000
Dy2 0.0000 0.0000 0.2449
Dy3 0.0000 0.0000 0.5000
Dy4 0.0000 0.5000 0.1228
Dy5 0.0000 0.5000 0.3690
Y1 0.5000 0.5000 0.5000
In1 0.5000 0.5000 0.0000
In2 0.5000 0.5000 0.2435
# E (eV per atom): -4.560
# E_form (meV/atom): -191
# Size of the total moment (Bohr magnetons per cell): 0.0


5.
# DyYIn4, relaxed, DFT PBE
data_DyYIn4
_cell_length_a 8.4777
_cell_length_b 8.4777
_cell_length_c 8.4777
_cell_angle_alpha 90.00
_cell_angle_beta 90.00
_cell_angle_gamma 90.00
_symmetry_space_group_name_H-M 'F -4 3 m'
_symmetry_Int_Tables_number 216
_symmetry_space_group_name_Hall 'F -4 2 3'
loop_
_atom_site_label
_atom_site_fract_x
_atom_site_fract_y
_atom_site_fract_z
Dy1 0.0000 0.0000 0.0000
Y1 0.2500 0.2500 0.2500
In1 0.1250 0.1250 0.6250
# E (eV per atom): -4.010
# E_form (meV/atom): -340
# Size of the total moment (Bohr magnetons per cell): 0.0


6.
# Dy5Y3In2, relaxed, DFT PBE
data_Dy5Y3In2
_cell_length_a 11.7436
_cell_length_b 15.6987
_cell_length_c 6.5398
_cell_angle_alpha 90.00
_cell_angle_beta 93.90
_cell_angle_gamma 90.00
_symmetry_space_group_name_H-M 'C 1 2/c 1'
_symmetry_Int_Tables_number 15
loop_
_symmetry_equiv_pos_as_xyz
'x,y,z'
'-x,-y,-z'
'-x,y,-z+1/2'
'x,-y,z+1/2'
'x+1/2,y+1/2,z'
'-x+1/2,-y+1/2,-z'
'-x+1/2,y+1/2,-z+1/2'
'x+1/2,-y+1/2,z+1/2'
loop_
_atom_site_label
_atom_site_fract_x
_atom_site_fract_y
_atom_site_fract_z
Dy1 0.0000 0.0320 0.2500
Dy2 0.1337 0.1571 0.6098
Dy3 0.2441 0.0470 0.0229
Y1 0.0000 0.4633 0.2500
Y2 0.1178 0.2582 0.0958
In1 0.1177 0.3558 0.6125
# E (eV per atom): -4.937
# E_form (meV/atom): -149
# Size of the total moment (Bohr magnetons per cell): 0.0


7.
# Dy3Y2In4, relaxed, DFT PBE
data_Dy3Y2In4
_cell_length_a 7.0645
_cell_length_b 16.0061
_cell_length_c 9.3321
_cell_angle_alpha 90.00
_cell_angle_beta 90.00
_cell_angle_gamma 90.00
_symmetry_space_group_name_H-M 'C m c e'
_symmetry_Int_Tables_number 64
_symmetry_space_group_name_Hall '-C 2ac 2'
loop_
_atom_site_label
_atom_site_fract_x
_atom_site_fract_y
_atom_site_fract_z
Dy1 0.0000 0.0000 0.0000
Dy2 0.2500 0.2145 0.2500
Y1 0.0000 0.1100 0.5650
In1 0.0000 0.1901 0.9658
In2 0.2500 0.0214 0.2500
# E (eV per atom): -4.452
# E_form (meV/atom): -265
# Size of the total moment (Bohr magnetons per cell): 0.0


8.
# Dy4Y7In, relaxed, DFT PBE
data_Dy4Y7In
_cell_length_a 17.4929
_cell_length_b 5.7725
_cell_length_c 8.5499
_cell_angle_alpha 90.00
_cell_angle_beta 116.97
_cell_angle_gamma 90.00
_symmetry_space_group_name_H-M 'C 1 2/m 1'
_symmetry_Int_Tables_number 12
loop_
_symmetry_equiv_pos_as_xyz
'x,y,z'
'-x,-y,-z'
'-x,y,-z'
'x,-y,z'
'x+1/2,y+1/2,z'
'-x+1/2,-y+1/2,-z'
'-x+1/2,y+1/2,-z'
'x+1/2,-y+1/2,z'
loop_
_atom_site_label
_atom_site_fract_x
_atom_site_fract_y
_atom_site_fract_z
Dy1 0.0404 0.0000 0.2014
Dy2 0.1844 0.0000 0.7210
Y1 0.0000 0.0000 0.5000
Y2 0.0916 0.5000 0.9229
Y3 0.1616 0.5000 0.4110
Y4 0.2055 0.0000 0.1270
In1 0.0000 0.5000 0.5000
# E (eV per atom): -5.339
# E_form (meV/atom): 193
# Size of the total moment (Bohr magnetons per cell): 0.0


9.
# Dy3Y2In2, relaxed, DFT PBE
data_Dy3Y2In2
_cell_length_a 11.5017
_cell_length_b 5.1883
_cell_length_c 6.8922
_cell_angle_alpha 90.00
_cell_angle_beta 90.69
_cell_angle_gamma 90.00
_symmetry_space_group_name_H-M 'C 1 2/m 1'
_symmetry_Int_Tables_number 12
loop_
_symmetry_equiv_pos_as_xyz
'x,y,z'
'-x,-y,-z'
'-x,y,-z'
'x,-y,z'
'x+1/2,y+1/2,z'
'-x+1/2,-y+1/2,-z'
'-x+1/2,y+1/2,-z'
'x+1/2,-y+1/2,z'
loop_
_atom_site_label
_atom_site_fract_x
_atom_site_fract_y
_atom_site_fract_z
Dy1 0.0000 0.0000 0.0000
Dy2 0.2063 0.5000 0.8364
Y1 0.1005 0.5000 0.3195
In1 0.1203 0.0000 0.5849
# E (eV per atom): -4.869
# E_form (meV/atom): -268
# Size of the total moment (Bohr magnetons per cell): 0.0


10.
# Dy6Y3In, relaxed, DFT PBE
data_Dy6Y3In
_cell_length_a 10.9569
_cell_length_b 18.7959
_cell_length_c 6.1170
_cell_angle_alpha 90.00
_cell_angle_beta 90.00
_cell_angle_gamma 90.00
_symmetry_space_group_name_H-M 'C m c 21'
_symmetry_Int_Tables_number 36
loop_
_symmetry_equiv_pos_as_xyz
'x,y,z'
'-x,-y,z+1/2'
'-x,y,z'
'x,-y,z+1/2'
'x+1/2,y+1/2,z'
'-x+1/2,-y+1/2,z+1/2'
'-x+1/2,y+1/2,z'
'x+1/2,-y+1/2,z+1/2'
loop_
_atom_site_label
_atom_site_fract_x
_atom_site_fract_y
_atom_site_fract_z
Dy1 0.0000 0.0558 0.0000
Dy2 0.0000 0.2698 0.2816
Dy3 0.1621 0.4503 0.4148
Dy4 0.2327 0.2854 0.6020
Y1 0.0000 0.3903 0.8882
Y2 0.1624 0.1063 0.4821
In1 0.0000 0.2120 0.8037
# E (eV per atom): -4.969
# E_form (meV/atom): 6
# Size of the total moment (Bohr magnetons per cell): 0.0


11.
# Dy7Y3In, relaxed, DFT PBE
data_Dy7Y3In
_cell_length_a 6.9580
_cell_length_b 6.9580
_cell_length_c 8.5138
_cell_angle_alpha 90.00
_cell_angle_beta 90.00
_cell_angle_gamma 120.00
_symmetry_space_group_name_H-M 'P 3 m 1'
_symmetry_Int_Tables_number 156
loop_
_symmetry_equiv_pos_as_xyz
'x,y,z'
'-y,x-y,z'
'-x+y,-x,z'
'-y,-x,z'
'-x+y,y,z'
'x,x-y,z'
loop_
_atom_site_label
_atom_site_fract_x
_atom_site_fract_y
_atom_site_fract_z
Dy1 0.0000 0.0000 0.0000
Dy2 0.1637 0.3275 0.6671
Dy3 0.5016 0.0033 0.9888
Y1 0.3328 0.1664 0.3306
In1 0.6667 0.3333 0.6610
# E (eV per atom): -4.822
# E_form (meV/atom): 118
# Size of the total moment (Bohr magnetons per cell): 0.0


12.
# Dy5YIn4, relaxed, DFT PBE
data_Dy5YIn4
_cell_length_a 3.5772
_cell_length_b 3.5772
_cell_length_c 21.6807
_cell_angle_alpha 90.00
_cell_angle_beta 90.00
_cell_angle_gamma 90.00
_symmetry_space_group_name_H-M 'P 4/m m m'
_symmetry_Int_Tables_number 123
_symmetry_space_group_name_Hall '-P 4 2'
loop_
_atom_site_label
_atom_site_fract_x
_atom_site_fract_y
_atom_site_fract_z
Dy1 0.0000 0.0000 0.0000
Dy2 0.0000 0.0000 0.1928
Dy3 0.0000 0.0000 0.3844
Y1 0.5000 0.5000 0.5000
In1 0.5000 0.5000 0.0963
In2 0.5000 0.5000 0.2886
# E (eV per atom): -4.419
# E_form (meV/atom): -376
# Size of the total moment (Bohr magnetons per cell): 0.0


13.
# Dy3Y3In, relaxed, DFT PBE
data_Dy3Y3In
_cell_length_a 9.4103
_cell_length_b 9.4103
_cell_length_c 5.5376
_cell_angle_alpha 90.00
_cell_angle_beta 90.00
_cell_angle_gamma 120.00
_symmetry_space_group_name_H-M 'P 63/m'
_symmetry_Int_Tables_number 176
_symmetry_space_group_name_Hall '-P 6c'
loop_
_atom_site_label
_atom_site_fract_x
_atom_site_fract_y
_atom_site_fract_z
Dy1 0.0636 0.8225 0.2500
Y1 0.1059 0.6262 0.7500
In1 0.3333 0.6667 0.2500
# E (eV per atom): -5.250
# E_form (meV/atom): -116
# Size of the total moment (Bohr magnetons per cell): 1.0


14.
# DyY3In2, relaxed, DFT PBE
data_DyY3In2
_cell_length_a 5.2001
_cell_length_b 9.8142
_cell_length_c 6.7357
_cell_angle_alpha 90.00
_cell_angle_beta 90.00
_cell_angle_gamma 90.00
_symmetry_space_group_name_H-M 'P m c 21'
_symmetry_Int_Tables_number 26
loop_
_symmetry_equiv_pos_as_xyz
'x,y,z'
'-x,-y,z+1/2'
'-x,y,z'
'x,-y,z+1/2'
loop_
_atom_site_label
_atom_site_fract_x
_atom_site_fract_y
_atom_site_fract_z
Dy1 0.0000 0.0369 0.0000
Y1 0.0000 0.3188 0.6541
Y2 0.5000 0.1802 0.2793
Y3 0.5000 0.4627 0.9342
In1 0.0000 0.3577 0.1792
In2 0.5000 0.1427 0.7551
# E (eV per atom): -5.297
# E_form (meV/atom): -385
# Size of the total moment (Bohr magnetons per cell): 0.0


15.
# Dy5Y3In, relaxed, DFT PBE
data_Dy5Y3In
_cell_length_a 9.2969
_cell_length_b 9.2969
_cell_length_c 13.5134
_cell_angle_alpha 90.00
_cell_angle_beta 90.00
_cell_angle_gamma 90.00
_symmetry_space_group_name_H-M 'I 4/m c m'
_symmetry_Int_Tables_number 140
_symmetry_space_group_name_Hall '-I 4 2c'
loop_
_atom_site_label
_atom_site_fract_x
_atom_site_fract_y
_atom_site_fract_z
Dy1 0.0000 0.0000 0.0000
Dy2 0.1918 0.3082 0.1341
Y1 0.0000 0.0000 0.2500
Y2 0.1136 0.3864 0.5000
In1 0.0000 0.5000 0.2500
# E (eV per atom): -4.818
# E_form (meV/atom): 198
# Size of the total moment (Bohr magnetons per cell): 0.0


16.
# Dy6Y12In, relaxed, DFT PBE
data_Dy6Y12In
_cell_length_a 12.9068
_cell_length_b 12.9068
_cell_length_c 12.8467
_cell_angle_alpha 90.00
_cell_angle_beta 90.00
_cell_angle_gamma 120.00
_symmetry_space_group_name_H-M 'R -3 m'
_symmetry_Int_Tables_number 166
_symmetry_space_group_name_Hall '-R 3 2"'
loop_
_atom_site_label
_atom_site_fract_x
_atom_site_fract_y
_atom_site_fract_z
Dy1 0.0906 0.1812 0.2746
Y1 0.0000 0.2598 0.5000
Y2 0.0612 0.5306 0.6106
In1 0.0000 0.0000 0.5000
# E (eV per atom): -5.579
# E_form (meV/atom): 101
# Size of the total moment (Bohr magnetons per cell): 0.0


17.
# Dy3Y2In4, relaxed, DFT PBE
data_Dy3Y2In4
_cell_length_a 9.1279
_cell_length_b 5.2736
_cell_length_c 10.2431
_cell_angle_alpha 90.00
_cell_angle_beta 90.05
_cell_angle_gamma 90.00
_symmetry_space_group_name_H-M 'C 1 2/m 1'
_symmetry_Int_Tables_number 12
loop_
_symmetry_equiv_pos_as_xyz
'x,y,z'
'-x,-y,-z'
'-x,y,-z'
'x,-y,z'
'x+1/2,y+1/2,z'
'-x+1/2,-y+1/2,-z'
'-x+1/2,y+1/2,-z'
'x+1/2,-y+1/2,z'
loop_
_atom_site_label
_atom_site_fract_x
_atom_site_fract_y
_atom_site_fract_z
Dy1 0.0000 0.0000 0.0000
Dy2 0.1665 0.5000 0.4250
Y1 0.1669 0.5000 0.7768
In1 0.9998 0.0000 0.3458
In2 0.1665 0.5000 0.1007
# E (eV per atom): -4.615
# E_form (meV/atom): -428
# Size of the total moment (Bohr magnetons per cell): 0.0


18.
# Dy5Y12In2, relaxed, DFT PBE
data_Dy5Y12In2
_cell_length_a 15.3215
_cell_length_b 9.4217
_cell_length_c 8.3205
_cell_angle_alpha 90.00
_cell_angle_beta 91.56
_cell_angle_gamma 90.00
_symmetry_space_group_name_H-M 'C 1 2/m 1'
_symmetry_Int_Tables_number 12
loop_
_symmetry_equiv_pos_as_xyz
'x,y,z'
'-x,-y,-z'
'-x,y,-z'
'x,-y,z'
'x+1/2,y+1/2,z'
'-x+1/2,-y+1/2,-z'
'-x+1/2,y+1/2,-z'
'x+1/2,-y+1/2,z'
loop_
_atom_site_label
_atom_site_fract_x
_atom_site_fract_y
_atom_site_fract_z
Dy1 0.0000 0.0000 0.0000
Dy2 0.1892 0.5000 0.5083
Dy3 0.2337 0.0000 0.0788
Y1 0.0533 0.5000 0.8207
Y2 0.0821 0.0000 0.3801
Y3 0.1256 0.3037 0.1618
Y4 0.1484 0.1845 0.7322
In1 0.0000 0.3177 0.5000
# E (eV per atom): -5.594
# E_form (meV/atom): -12
# Size of the total moment (Bohr magnetons per cell): 0.0


19.
# DyY4In2, relaxed, DFT PBE
data_DyY4In2
_cell_length_a 6.3966
_cell_length_b 10.6748
_cell_length_c 6.9472
_cell_angle_alpha 90.00
_cell_angle_beta 114.54
_cell_angle_gamma 90.00
_symmetry_space_group_name_H-M 'P 1 21/c 1'
_symmetry_Int_Tables_number 14
loop_
_symmetry_equiv_pos_as_xyz
'x,y,z'
'-x,-y,-z'
'-x,y+1/2,-z+1/2'
'x,-y+1/2,z+1/2'
loop_
_atom_site_label
_atom_site_fract_x
_atom_site_fract_y
_atom_site_fract_z
Dy1 0.0000 0.0000 0.0000
Y1 0.0012 0.1667 0.5002
Y2 0.4986 0.7186 0.4996
In1 0.4633 0.9997 0.6915
# E (eV per atom): -5.263
# E_form (meV/atom): -129
# Size of the total moment (Bohr magnetons per cell): 0.0


Number 1: N(E_F) 6.139 states/eV per cell. Number 2: N(E_F) 11.014 states/eV per cell. Number 3: N(E_F) 38.303 states/eV per cell. Number 4: N(E_F) 19.853 states/eV per cell. Number 5: N(E_F) 15.122 states/eV per cell. Number 6: N(E_F) 47.446 states/eV per cell. Number 7: N(E_F) 26.849 states/eV per cell. Number 8: N(E_F) 33.496 states/eV per cell. Number 9: N(E_F) 15.443 states/eV per cell. Number 10: N(E_F) 61.662 states/eV per cell. Number 11: N(E_F) 16.571 states/eV per cell. Number 12: N(E_F) 7.178 states/eV per cell. Number 13: N(E_F) 19.776 states/eV per cell. Number 14: N(E_F) 11.933 states/eV per cell. Number 15: N(E_F) 47.915 states/eV per cell. Number 16: N(E_F) 110.704 states/eV per cell. Number 17: N(E_F) 15.347 states/eV per cell. Number 18: N(E_F) 60.127 states/eV per cell. Number 19: N(E_F) 18.787 states/eV per cell.